Record 1
Computed, not measured: a geometry-optimized SrLiCa2 structure at the PBE level of DFT.

```
SrLiCa2
1.0
-2.5533 3.2179 4.5377
0.8852 -1.6812 5.8185
3.5030 3.4194 3.6745
Sr Ca Li
1 2 1
direct
0.7500 0.7500 0.7500
0.0000 0.0000 0.0000
0.2500 0.2500 0.2500
0.5000 0.5000 0.5000
```

Values from the calculation:
E above lowest polymorph in eV per atom: 0.071

***

Record 2
Computed, not measured: a geometry-optimized SrLi4Ca8 structure at the PBE level of DFT.

```
SrLi4Ca8
1.0
6.2112 0.0000 2.4966
3.1056 8.4939 1.2483
-0.0622 0.0000 9.1294
Sr Li Ca
1 4 8
direct
0.0000 0.0000 0.0000
0.0000 0.0000 0.5000
0.5000 0.0000 0.5000
0.0000 0.5000 0.0000
0.5000 0.5000 0.0000
0.0000 0.3477 0.6523
0.0000 0.6523 0.3477
0.3477 0.6523 0.6523
0.6523 0.3477 0.3477
0.5000 0.7850 0.2150
0.5000 0.2150 0.7850
0.2850 0.2150 0.2150
0.7150 0.7850 0.7850
```

***

Record 3
Computed, not measured: a geometry-optimized Sr6LiCa2 structure at the PBE level of DFT.

```
Sr6LiCa2
1.0
-5.0518 -2.9947 -3.3815
6.7681 -8.4984 -2.5846
-2.2010 3.1138 8.1236
Sr Li Ca
6 1 2
direct
0.1626 0.4786 0.3282
0.8374 0.1504 0.6718
0.8374 0.5214 0.6718
0.5000 0.1763 0.0000
0.1626 0.8496 0.3282
0.5000 0.8237 0.0000
0.0000 0.0000 0.0000
0.6713 0.6716 0.3433
0.3287 0.3284 0.6567
```

Values from the calculation:
E above lowest polymorph in eV per atom: 0.089

***

Record 4
Computed, not measured: a geometry-optimized Sr7LiCa3 structure at the PBE level of DFT.

```
Sr7LiCa3
1.0
-8.5137 -4.6097 -1.6178
0.8106 -3.9828 7.0832
-3.8545 7.1962 -0.2203
Sr Li Ca
7 1 3
direct
0.1117 0.1679 0.8321
0.1117 0.1679 0.3358
0.1089 0.6667 0.3333
0.4592 0.8337 0.1663
0.4592 0.3326 0.1663
0.4592 0.8337 0.6674
0.1117 0.6642 0.8321
0.4582 0.3333 0.6667
0.7784 0.4973 0.5027
0.7784 0.4973 0.9946
0.7784 0.0054 0.5027
```

***

no.,calculated formation energy (eV per atom)
1,0.089
2,0.044
3,0.123
4,0.146